Entry 1:
Entry from the Alexandria database: K2ZnAs after structural relaxation (GGA-PBEsol).

Properties
VASP energy = -2.163 eV/atom
formation enthalpy at 0 K = 0.0756 eV per atom

abc: 5.4611 5.4611 5.4611
angles: 60.00 60.00 60.00
Fractional coordinates of all 4 atoms:
As 0.0000 0.0000 0.0000
K 0.2500 0.2500 0.2500
K 0.7500 0.7500 0.7500
Zn 0.5000 0.5000 0.5000

---

Entry 2:
Entry from the Alexandria database: Li4V3O4F8 after structural relaxation (GGA-PBEsol).

Properties
VASP energy = -6.594 eV/atom
energy relative to the elements, uncorrected = -2742 meV per atom

abc: 5.5295 5.6541 6.4475
angles: 98.63 100.01 95.63
Last column: magnetic moment on the atom in μB.
Fractional coordinates of all 19 atoms:
Li 0.8772 0.6841 0.4677  0.00
Li 0.6891 0.3906 0.8339  0.00
Li 0.4022 0.8773 0.6626  0.00
Li 0.1686 0.3883 0.6107  0.00
V 0.5962 0.1449 0.3276  1.05
V 0.3050 0.5883 0.1262  1.25
V 0.0087 0.0116 0.0022  0.82
O 0.8584 0.0764 0.2275  -0.09
O 0.5386 0.4146 0.2175  -0.12
O 0.3260 0.9365 0.1406  -0.06
O 0.1251 0.2988 0.9999  -0.09
F 0.9370 0.6633 0.0099  0.00
F 0.8247 0.3729 0.5768  0.00
F 0.6136 0.8478 0.4529  0.01
F 0.3796 0.1877 0.5369  0.01
F 0.6887 0.0456 0.8479  0.00
F 0.1756 0.5985 0.3899  0.01
F 0.4125 0.5851 0.8463  0.01
F 0.0731 0.8877 0.7227  0.01

---

Entry 3:
Entry from the Alexandria database: Cu3Ag3P2S8 after structural relaxation (GGA-PBEsol).

Properties
VASP energy = -4.596 eV/atom
energy relative to the elements, uncorrected = -246 meV per atom

abc: 6.2036 6.3155 7.5636
angles: 89.62 89.68 89.65
Fractional coordinates of all 16 atoms:
Cu 0.5081 0.6804 0.7495
Cu 0.5034 0.6955 0.2543
Cu 0.0154 0.3267 0.7511
Ag 0.0221 0.3167 0.2446
Ag 0.0119 0.8438 0.5035
Ag 0.4976 0.1364 0.9939
P 0.5058 0.1859 0.5049
P 0.9941 0.8154 0.9958
S 0.4078 0.8678 0.5042
S 0.8983 0.1280 0.9814
S 0.8362 0.2006 0.5168
S 0.3303 0.7784 0.9999
S 0.8719 0.6555 0.7769
S 0.8663 0.6834 0.2240
S 0.3750 0.3431 0.7241
S 0.4119 0.3425 0.2753

---

Entry 4:
Entry from the Alexandria database: ScTl2Cd after structural relaxation (GGA-PBEsol).

Properties
energy relative to the lowest polymorph listed for this composition = 13.2 kJ per mole of atoms
VASP energy = -3.342 eV/atom
formation enthalpy at 0 K = -0.0760 eV per atom

abc: 5.0715 5.0715 5.0715
angles: 60.00 60.00 60.00
Fractional coordinates of all 4 atoms:
Sc 0.0000 0.0000 0.0000
Tl 0.2500 0.2500 0.2500
Tl 0.7500 0.7500 0.7500
Cd 0.5000 0.5000 0.5000

---

Entry 5:
Entry from the Alexandria database: BaAlSiH after structural relaxation (GGA-PBEsol).

Properties
VASP energy = -4.280 eV/atom

abc: 4.3044 4.3044 5.0828
angles: 90.00 90.00 120.00
Fractional coordinates of all 4 atoms:
H 0.3333 0.6667 0.1254
Si 0.6667 0.3333 0.5432
Ba 0.0000 0.0000 0.0046
Al 0.3333 0.6667 0.4696

---

Entry 6:
Entry from the Alexandria database: HgPbAu2 after structural relaxation (GGA-PBEsol).

Properties
energy relative to the lowest polymorph listed for this composition = 0.0 kJ per mole of atoms
VASP energy = -3.117 eV/atom
formation enthalpy at 0 K = -0.0134 eV per atom

abc: 3.7428 4.2415 5.8089
angles: 90.00 110.16 90.00
Fractional coordinates of all 4 atoms:
Pb 0.5946 0.5000 0.8185
Au 0.1768 0.0000 0.9633
Au 0.3310 0.5000 0.2974
Hg 0.8976 0.0000 0.4207

---

Entry 7:
Entry from the Alexandria database: NiRh2 after structural relaxation (GGA-PBEsol).

Properties
energy relative to the lowest polymorph listed for this composition = 2.6 kJ per mole of atoms
VASP energy = -7.417 eV/atom
formation enthalpy at 0 K = 0.0608 eV per atom

abc: 2.6391 4.4939 6.3688
angles: 91.16 90.00 90.00
Last column: magnetic moment on the atom in μB.
Fractional coordinates of all 6 atoms:
Ni 0.0000 0.3336 0.1678  0.41
Ni 0.0000 0.6664 0.8322  0.41
Rh 0.5000 0.5000 0.5000  0.20
Rh 0.5000 0.8289 0.1601  0.19
Rh 0.0000 0.0000 0.5000  0.16
Rh 0.5000 0.1711 0.8399  0.19

---

Entry 8:
Entry from the Alexandria database: Ta8Tc after structural relaxation (GGA-PBEsol).

Properties
VASP energy = -12.520 eV/atom
formation enthalpy at 0 K = -0.1112 eV per atom

abc: 3.2283 7.1035 7.1035
angles: 87.04 76.87 76.87
Fractional coordinates of all 9 atoms:
Ta 0.3377 0.3246 0.0000
Ta 0.6623 0.6754 0.0000
Ta 0.6660 0.3340 0.3340
Ta 0.3377 0.0000 0.3246
Ta 0.0000 0.6660 0.3340
Ta 0.6623 0.0000 0.6754
Ta 0.3340 0.6660 0.6660
Ta 0.0000 0.3340 0.6660
Tc 0.0000 0.0000 0.0000

---

Entry 9:
Entry from the Alexandria database: TaSn2BiRh after structural relaxation (GGA-PBEsol).

Properties
VASP energy = -6.229 eV/atom
formation enthalpy at 0 K = 0.4696 eV per atom

abc: 4.9850 4.9882 4.9882
angles: 90.00 90.00 90.00
Last column: magnetic moment on the atom in μB.
Fractional coordinates of all 5 atoms:
Rh 0.0000 0.0000 0.0000  -0.01
Bi 0.5000 0.5000 0.5000  -0.04
Sn 0.0000 0.0000 0.5000  -0.01
Sn 0.0000 0.5000 0.0000  -0.01
Ta 0.5000 0.0000 0.0000  0.57

---

Entry 10:
Entry from the Alexandria database: GaRuOF2 after structural relaxation (GGA-PBEsol).

Properties
VASP energy = -5.585 eV/atom
energy relative to the elements, uncorrected = -1062 meV per atom

abc: 3.7041 4.2491 4.2491
angles: 90.00 90.00 90.00
Fractional coordinates of all 5 atoms:
Ru 0.0000 0.0000 0.0000
O 0.5000 0.0000 0.0000
Ga 0.5000 0.5000 0.5000
F 0.0000 0.0000 0.5000
F 0.0000 0.5000 0.0000

---

Entry 11:
Entry from the Alexandria database: B5H7 after structural relaxation (GGA-PBEsol).

Properties
VASP energy = -4.913 eV/atom

abc: 5.4630 12.2298 12.2397
angles: 109.77 90.00 90.00
Fractional coordinates of all 96 atoms:
B 0.0010 0.1349 0.7994
B 0.9990 0.8651 0.2006
B 0.9990 0.6349 0.2994
B 0.0010 0.3651 0.7006
B 0.4954 0.7984 0.6343
B 0.5046 0.2016 0.3657
B 0.5046 0.2984 0.1343
B 0.4954 0.7016 0.8657
B 0.0014 0.2024 0.6014
B 0.9986 0.7976 0.3986
B 0.9986 0.7024 0.1014
B 0.0014 0.2976 0.8986
B 0.4953 0.6014 0.7036
B 0.5047 0.3986 0.2964
B 0.5047 0.1014 0.2036
B 0.4953 0.8986 0.7964
B 0.1790 0.1259 0.6744
B 0.8210 0.8741 0.3256
B 0.8210 0.6259 0.1744
B 0.1790 0.3741 0.8256
B 0.3176 0.6736 0.6264
B 0.6824 0.3264 0.3736
B 0.6824 0.1736 0.1264
B 0.3176 0.8264 0.8736
B 0.2477 0.2713 0.6880
B 0.7523 0.7287 0.3120
B 0.7523 0.7713 0.1880
B 0.2477 0.2287 0.8120
B 0.2489 0.6883 0.7718
B 0.7511 0.3117 0.2282
B 0.7511 0.1883 0.2718
B 0.2489 0.8117 0.7282
B 0.8690 0.1022 0.6598
B 0.1310 0.8978 0.3402
B 0.1310 0.6022 0.1598
B 0.8690 0.3978 0.8402
B 0.6276 0.6588 0.6025
B 0.3724 0.3412 0.3975
B 0.3724 0.1588 0.1025
B 0.6276 0.8412 0.8975
H 0.9927 0.0649 0.8480
H 0.0073 0.9351 0.1520
H 0.0073 0.5649 0.3480
H 0.9927 0.4351 0.6520
H 0.5033 0.8461 0.5636
H 0.4967 0.1539 0.4364
H 0.4967 0.3461 0.0636
H 0.5033 0.6539 0.9364
H 0.3179 0.0486 0.6274
H 0.6821 0.9514 0.3726
H 0.6821 0.5486 0.1274
H 0.3179 0.4514 0.8726
H 0.1785 0.6259 0.5494
H 0.8215 0.3741 0.4506
H 0.8215 0.1259 0.0494
H 0.1785 0.8741 0.9506
H 0.7555 0.0169 0.6080
H 0.2445 0.9831 0.3920
H 0.2445 0.5169 0.1080
H 0.7555 0.4831 0.8920
H 0.7409 0.6061 0.5174
H 0.2591 0.3939 0.4826
H 0.2591 0.1061 0.0174
H 0.7409 0.8939 0.9826
H 0.9931 0.1834 0.4989
H 0.0069 0.8166 0.5011
H 0.0069 0.6834 0.9989
H 0.9931 0.3166 0.0011
H 0.5019 0.4989 0.6851
H 0.4981 0.5011 0.3149
H 0.4981 0.9989 0.1851
H 0.5019 0.0011 0.8149
H 0.4200 0.2896 0.6352
H 0.5800 0.7104 0.3648
H 0.5800 0.7896 0.1352
H 0.4200 0.2104 0.8648
H 0.0770 0.6354 0.7906
H 0.9230 0.3646 0.2094
H 0.9230 0.1354 0.2906
H 0.0770 0.8646 0.7094
H 0.7713 0.1425 0.7673
H 0.2287 0.8575 0.2327
H 0.2287 0.6425 0.2673
H 0.7713 0.3575 0.7327
H 0.7253 0.7663 0.6416
H 0.2747 0.2337 0.3584
H 0.2747 0.2663 0.1416
H 0.7253 0.7337 0.8584
H 0.7713 0.1891 0.6296
H 0.2287 0.8109 0.3704
H 0.2287 0.6891 0.1296
H 0.7713 0.3109 0.8704
H 0.7253 0.6296 0.6900
H 0.2747 0.3704 0.3100
H 0.2747 0.1296 0.1900
H 0.7253 0.8704 0.8100

---

Entry 12:
Entry from the Alexandria database: MgFePO2 after structural relaxation (GGA-PBEsol).

Properties
VASP energy = -5.325 eV/atom
energy relative to the elements, uncorrected = 70 meV per atom

abc: 3.6769 3.6769 5.2989
angles: 90.00 90.00 90.00
Last column: magnetic moment on the atom in μB.
Fractional coordinates of all 5 atoms:
P 0.0000 0.0000 0.5000  0.17
Mg 0.0000 0.0000 0.0000  0.00
Fe 0.5000 0.5000 0.5000  3.39
O 0.0000 0.5000 0.0000  0.66
O 0.5000 0.0000 0.0000  0.66

---

Entry 13:
Entry from the Alexandria database: Cs5Nb2S4Cl9 after structural relaxation (GGA-PBEsol).

Properties
VASP energy = -4.645 eV/atom
energy relative to the elements, uncorrected = -1547 meV per atom

abc: 7.1935 10.2978 10.2633
angles: 120.11 110.51 90.00
Fractional coordinates of all 20 atoms:
Cs 0.6638 0.4419 0.3276
Cs 0.6638 0.8857 0.3276
Cs 0.0000 0.5000 0.0000
Cs 0.3362 0.5581 0.6724
Cs 0.3362 0.1143 0.6724
Nb 0.0896 0.0896 0.1793
Nb 0.9104 0.9104 0.8207
S 0.7542 0.0974 0.0000
S 0.7542 0.9026 0.0000
S 0.2458 0.9026 0.0000
S 0.2458 0.0974 0.0000
Cl 0.9650 0.2034 0.4068
Cl 0.8711 0.6263 0.7421
Cl 0.0350 0.7966 0.5932
Cl 0.1289 0.3737 0.2579
Cl 0.8711 0.1159 0.7421
Cl 0.4418 0.2034 0.4068
Cl 0.5582 0.7966 0.5932
Cl 0.1289 0.8841 0.2579
Cl 0.5000 0.5000 0.0000

---

Entry 14:
Entry from the Alexandria database: CaTeW after structural relaxation (GGA-PBEsol).

Properties
VASP energy = -5.083 eV/atom
energy relative to the elements, uncorrected = 1406 meV per atom

abc: 4.9181 4.9181 4.9181
angles: 60.00 60.00 60.00
Last column: magnetic moment on the atom in μB.
Fractional coordinates of all 3 atoms:
Ca 0.7500 0.7500 0.7500  0.13
Te 0.0000 0.0000 0.0000  -0.02
W 0.5000 0.5000 0.5000  2.68

---

Entry 15:
Entry from the Alexandria database: MgMn2Cl after structural relaxation (GGA-PBEsol).

Properties
energy relative to the lowest polymorph listed for this composition = 32.1 kJ per mole of atoms
VASP energy = -5.437 eV/atom
energy relative to the elements, uncorrected = 375 meV per atom

abc: 3.0499 4.4823 4.9838
angles: 90.00 90.00 90.00
Last column: magnetic moment on the atom in μB.
Fractional coordinates of all 4 atoms:
Cl 0.5000 0.0000 0.5000  0.06
Mg 0.0000 0.5000 0.5000  -0.05
Mn 0.0000 0.0000 0.0000  3.84
Mn 0.5000 0.5000 0.0000  3.41

---

Entry 16:
Entry from the Alexandria database: Be2S2N after structural relaxation (GGA-PBEsol).

Properties
VASP energy = -4.931 eV/atom
energy relative to the elements, uncorrected = 128 meV per atom

abc: 4.0426 4.0426 5.8676
angles: 110.15 110.15 90.00
Last column: magnetic moment on the atom in μB.
Fractional coordinates of all 5 atoms:
Be 0.1540 0.1540 0.3080  -0.03
Be 0.8460 0.8460 0.6920  -0.03
S 0.2500 0.7500 0.5000  0.12
S 0.7500 0.2500 0.5000  0.12
N 0.0000 0.0000 0.0000  0.97

---

Entry 17:
Entry from the Alexandria database: YMg2 after structural relaxation (GGA-PBEsol).

Properties
VASP energy = -3.444 eV/atom
formation enthalpy at 0 K = -0.0252 eV per atom

abc: 4.8812 7.4153 7.4153
angles: 120.00 90.00 90.00
Fractional coordinates of all 9 atoms:
Y 0.0000 0.5677 0.0000
Y 0.0000 0.0000 0.5677
Y 0.0000 0.4323 0.4323
Mg 0.5000 0.0000 0.2365
Mg 0.5000 0.7635 0.7635
Mg 0.5000 0.2365 0.0000
Mg 0.5000 0.6667 0.3333
Mg 0.0000 0.0000 0.0000
Mg 0.5000 0.3333 0.6667

---

Entry 18:
Entry from the Alexandria database: Fe2Co after structural relaxation (GGA-PBEsol).

Properties
VASP energy = -8.557 eV/atom
formation enthalpy at 0 K = -0.0028 eV per atom

abc: 2.7958 2.7958 8.4083
angles: 90.00 90.00 90.00
Last column: magnetic moment on the atom in μB.
Fractional coordinates of all 6 atoms:
Co 0.0000 0.0000 0.8344  1.72
Co 0.0000 0.0000 0.1656  1.72
Fe 0.5000 0.5000 0.0000  2.74
Fe 0.5000 0.5000 0.3332  2.59
Fe 0.0000 0.0000 0.5000  2.33
Fe 0.5000 0.5000 0.6668  2.59

---

Entry 19:
Entry from the Alexandria database: SmInCu after structural relaxation (GGA-PBEsol).

Properties
VASP energy = -4.565 eV/atom
formation enthalpy at 0 K = -0.4287 eV per atom

abc: 3.9685 7.4268 7.4268
angles: 120.00 90.00 90.00
Fractional coordinates of all 9 atoms:
Cu 0.5000 0.3333 0.6667
Cu 0.0000 0.0000 0.0000
Cu 0.5000 0.6667 0.3333
Sm 0.0000 0.0000 0.4129
Sm 0.0000 0.4129 0.0000
Sm 0.0000 0.5871 0.5871
In 0.5000 0.7495 0.0000
In 0.5000 0.2505 0.2505
In 0.5000 0.0000 0.7495

---

Entry 20:
Entry from the Alexandria database: La3GeH after structural relaxation (GGA-PBEsol).

Properties
VASP energy = -5.315 eV/atom

abc: 4.8714 4.8714 4.8714
angles: 90.00 90.00 90.00
Fractional coordinates of all 5 atoms:
H 0.0000 0.0000 0.0000
Ge 0.5000 0.5000 0.5000
La 0.0000 0.5000 0.0000
La 0.0000 0.0000 0.5000
La 0.5000 0.0000 0.0000